[1]
# KLa2H (GGA-PBE, relaxed)
# * V: 31.942 Å³ per atom
# * offset from the most stable computed form: 357 kJ/mol of formula units
# * crystal system: cubic
data_KLa2H
_space_group_name_H-M_alt 'P 1'
_space_group_IT_number 1
_space_group_name_Hall 'P 1'
_cell_length_a 5.653
_cell_length_b 5.653
_cell_length_c 5.653
_cell_angle_alpha 60.00
_cell_angle_beta 60.00
_cell_angle_gamma 60.00
loop_
_atom_site_label
_atom_site_type_symbol
_atom_site_fract_x
_atom_site_fract_y
_atom_site_fract_z
_atom_site_occupancy
La1 La 0.250 0.250 0.250 1
La2 La 0.750 0.750 0.750 1
H1 H 0.000 0.000 0.000 1
K1 K 0.500 0.500 0.500 1



[2]
# Ba3Li2RuO8 (GGA-PBE, relaxed)
# * V: 15.249 Å³ per atom
# * crystal system: trigonal
data_Ba3Li2RuO8
_space_group_name_H-M_alt 'P 1'
_space_group_IT_number 1
_space_group_name_Hall 'P 1'
_cell_length_a 5.702
_cell_length_b 5.702
_cell_length_c 7.581
_cell_angle_alpha 90.00
_cell_angle_beta 90.00
_cell_angle_gamma 120.00
loop_
_atom_site_label
_atom_site_type_symbol
_atom_site_fract_x
_atom_site_fract_y
_atom_site_fract_z
_atom_site_occupancy
O1 O 0.314 0.157 0.650 1
O2 O 0.686 0.843 0.350 1
O3 O 0.333 0.667 0.990 1
O4 O 0.843 0.157 0.650 1
O5 O 0.157 0.843 0.350 1
O6 O 0.843 0.686 0.650 1
O7 O 0.667 0.333 0.010 1
O8 O 0.157 0.314 0.350 1
Li1 Li 0.667 0.333 0.767 1
Li2 Li 0.333 0.667 0.233 1
Ba1 Ba 0.000 0.000 0.000 1
Ba2 Ba 0.667 0.333 0.345 1
Ba3 Ba 0.333 0.667 0.655 1
Ru1 Ru 0.000 0.000 0.500 1



[3]
# ZrGaH3 (GGA-PBE, relaxed)
# * V: 11.413 Å³ per atom
# * offset from the most stable computed form: 0 kJ/mol of formula units
# * crystal system: cubic
data_ZrGaH3
_space_group_name_H-M_alt 'P 1'
_space_group_IT_number 1
_space_group_name_Hall 'P 1'
_cell_length_a 3.850
_cell_length_b 3.850
_cell_length_c 3.850
_cell_angle_alpha 90.00
_cell_angle_beta 90.00
_cell_angle_gamma 90.00
loop_
_atom_site_label
_atom_site_type_symbol
_atom_site_fract_x
_atom_site_fract_y
_atom_site_fract_z
_atom_site_occupancy
H1 H 0.000 0.500 0.000 1
H2 H 0.500 0.000 0.000 1
H3 H 0.000 0.000 0.500 1
Zr1 Zr 0.000 0.000 0.000 1
Ga1 Ga 0.500 0.500 0.500 1



[4]
# SrLi6Mg (GGA-PBE, relaxed)
# * energy relative to the elements: 0.0430 eV/atom
# * V: 24.142 Å³ per atom
# * offset from the most stable computed form: 0 kJ/mol of formula units
# * crystal system: orthorhombic
data_SrLi6Mg
_space_group_name_H-M_alt 'P 1'
_space_group_IT_number 1
_space_group_name_Hall 'P 1'
_cell_length_a 5.107
_cell_length_b 6.506
_cell_length_c 6.506
_cell_angle_alpha 116.69
_cell_angle_beta 90.00
_cell_angle_gamma 90.00
loop_
_atom_site_label
_atom_site_type_symbol
_atom_site_fract_x
_atom_site_fract_y
_atom_site_fract_z
_atom_site_occupancy
Sr1 Sr 0.500 0.390 0.610 1
Li1 Li 0.500 0.421 0.114 1
Li2 Li 0.500 0.886 0.579 1
Li3 Li 0.000 0.631 0.963 1
Li4 Li 0.000 0.601 0.399 1
Li5 Li 0.500 0.931 0.069 1
Li6 Li 0.000 0.037 0.369 1
Mg1 Mg 0.000 0.103 0.897 1



[5]
# CeCd3Cu8 (GGA-PBE, relaxed)
# * energy relative to the elements: -0.0641 eV/atom
# * V: 15.618 Å³ per atom
# * crystal system: trigonal
data_CeCd3Cu8
_space_group_name_H-M_alt 'P 1'
_space_group_IT_number 1
_space_group_name_Hall 'P 1'
_cell_length_a 5.068
_cell_length_b 5.068
_cell_length_c 8.920
_cell_angle_alpha 73.50
_cell_angle_beta 73.50
_cell_angle_gamma 60.00
loop_
_atom_site_label
_atom_site_type_symbol
_atom_site_fract_x
_atom_site_fract_y
_atom_site_fract_z
_atom_site_occupancy
Cu1 Cu 0.937 0.937 0.690 1
Cu2 Cu 0.940 0.440 0.181 1
Cu3 Cu 0.187 0.187 0.439 1
Cu4 Cu 0.937 0.435 0.690 1
Cu5 Cu 0.435 0.937 0.690 1
Cu6 Cu 0.440 0.440 0.181 1
Cu7 Cu 0.440 0.940 0.181 1
Cu8 Cu 0.688 0.688 0.935 1
Cd1 Cd 0.493 0.493 0.521 1
Cd2 Cd 0.004 0.004 0.989 1
Cd3 Cd 0.374 0.374 0.879 1
Ce1 Ce 0.876 0.876 0.373 1



[6]
# BeFeW (GGA-PBE, relaxed)
# * energy relative to the elements: 0.0466 eV/atom
# * V: 11.696 Å³ per atom
# * offset from the most stable computed form: 62 kJ/mol of formula units
# * crystal system: trigonal
data_BeFeW
_space_group_name_H-M_alt 'P 1'
_space_group_IT_number 1
_space_group_name_Hall 'P 1'
_cell_length_a 3.896
_cell_length_b 3.896
_cell_length_c 2.669
_cell_angle_alpha 90.00
_cell_angle_beta 90.00
_cell_angle_gamma 120.00
loop_
_atom_site_label
_atom_site_type_symbol
_atom_site_fract_x
_atom_site_fract_y
_atom_site_fract_z
_atom_site_occupancy
Fe1 Fe 0.667 0.333 0.230 1
Be1 Be 0.000 0.000 0.124 1
W1 W 0.333 0.667 0.646 1



[7]
# K2Tl5Bi (GGA-PBE, relaxed)
# * energy relative to the elements: -0.1092 eV/atom
# * V: 34.533 Å³ per atom
# * crystal system: tetragonal
data_K2Tl5Bi
_space_group_name_H-M_alt 'P 1'
_space_group_IT_number 1
_space_group_name_Hall 'P 1'
_cell_length_a 5.819
_cell_length_b 5.819
_cell_length_c 9.139
_cell_angle_alpha 108.56
_cell_angle_beta 108.56
_cell_angle_gamma 90.00
loop_
_atom_site_label
_atom_site_type_symbol
_atom_site_fract_x
_atom_site_fract_y
_atom_site_fract_z
_atom_site_occupancy
Tl1 Tl 0.106 0.606 0.212 1
Tl2 Tl 0.606 0.106 0.212 1
Tl3 Tl 0.394 0.894 0.788 1
Tl4 Tl 0.500 0.500 0.000 1
Tl5 Tl 0.894 0.394 0.788 1
K1 K 0.246 0.246 0.492 1
K2 K 0.754 0.754 0.508 1
Bi1 Bi 0.000 0.000 0.000 1



[8]
# HfBe2Tc2 (GGA-PBE, relaxed)
# * energy relative to the elements: -0.3945 eV/atom
# * V: 12.942 Å³ per atom
# * offset from the most stable computed form: 0 kJ/mol of formula units
# * crystal system: tetragonal
data_HfBe2Tc2
_space_group_name_H-M_alt 'P 1'
_space_group_IT_number 1
_space_group_name_Hall 'P 1'
_cell_length_a 6.326
_cell_length_b 6.326
_cell_length_c 3.234
_cell_angle_alpha 90.00
_cell_angle_beta 90.00
_cell_angle_gamma 90.00
loop_
_atom_site_label
_atom_site_type_symbol
_atom_site_fract_x
_atom_site_fract_y
_atom_site_fract_z
_atom_site_occupancy
Be1 Be 0.114 0.386 0.000 1
Be2 Be 0.886 0.614 0.000 1
Be3 Be 0.386 0.886 0.000 1
Be4 Be 0.614 0.114 0.000 1
Tc1 Tc 0.326 0.174 0.500 1
Tc2 Tc 0.674 0.826 0.500 1
Tc3 Tc 0.826 0.326 0.500 1
Tc4 Tc 0.174 0.674 0.500 1
Hf1 Hf 0.500 0.500 0.000 1
Hf2 Hf 0.000 0.000 0.000 1



[9]
# Li3Cu4Si2 (GGA-PBE, relaxed)
# * V: 12.155 Å³ per atom
# * offset from the most stable computed form: 0 kJ/mol of formula units
# * crystal system: trigonal
data_Li3Cu4Si2
_space_group_name_H-M_alt 'P 1'
_space_group_IT_number 1
_space_group_name_Hall 'P 1'
_cell_length_a 4.066
_cell_length_b 4.066
_cell_length_c 7.641
_cell_angle_alpha 89.99
_cell_angle_beta 90.00
_cell_angle_gamma 60.00
loop_
_atom_site_label
_atom_site_type_symbol
_atom_site_fract_x
_atom_site_fract_y
_atom_site_fract_z
_atom_site_occupancy
Si1 Si 0.667 0.667 0.216 1
Si2 Si 0.333 0.333 0.784 1
Cu1 Cu 0.333 0.333 0.115 1
Cu2 Cu 0.000 0.000 0.677 1
Cu3 Cu 0.000 0.000 0.323 1
Cu4 Cu 0.667 0.667 0.885 1
Li1 Li 0.333 0.333 0.442 1
Li2 Li 0.667 0.667 0.558 1
Li3 Li 0.000 0.000 0.000 1



[10]
# AgPPt3 (GGA-PBE, relaxed)
# * energy relative to the elements: 1.7868 eV/atom
# * V: 22.922 Å³ per atom
# * offset from the most stable computed form: 985 kJ/mol of formula units
# * crystal system: cubic
data_AgPPt3
_space_group_name_H-M_alt 'P 1'
_space_group_IT_number 1
_space_group_name_Hall 'P 1'
_cell_length_a 4.857
_cell_length_b 4.857
_cell_length_c 4.857
_cell_angle_alpha 90.00
_cell_angle_beta 90.00
_cell_angle_gamma 90.00
loop_
_atom_site_label
_atom_site_type_symbol
_atom_site_fract_x
_atom_site_fract_y
_atom_site_fract_z
_atom_site_occupancy
Pt1 Pt 0.000 0.000 0.500 1
Pt2 Pt 0.500 0.000 0.000 1
Pt3 Pt 0.000 0.500 0.000 1
Ag1 Ag 0.000 0.000 0.000 1
P1 P 0.500 0.500 0.500 1



[11]
# CaErB2O6 (GGA-PBE, relaxed)
# * V: 12.744 Å³ per atom
# * crystal system: monoclinic
data_CaErB2O6
_space_group_name_H-M_alt 'P 1'
_space_group_IT_number 1
_space_group_name_Hall 'P 1'
_cell_length_a 6.390
_cell_length_b 6.390
_cell_length_c 6.790
_cell_angle_alpha 100.76
_cell_angle_beta 100.76
_cell_angle_gamma 105.02
loop_
_atom_site_label
_atom_site_type_symbol
_atom_site_fract_x
_atom_site_fract_y
_atom_site_fract_z
_atom_site_occupancy
B1 B 0.907 0.579 0.742 1
B2 B 0.093 0.421 0.258 1
B3 B 0.579 0.907 0.242 1
B4 B 0.421 0.093 0.758 1
O1 O 0.531 0.935 0.755 1
O2 O 0.773 0.939 0.385 1
O3 O 0.935 0.531 0.255 1
O4 O 0.065 0.469 0.745 1
O5 O 0.494 0.702 0.097 1
O6 O 0.939 0.773 0.885 1
O7 O 0.469 0.065 0.245 1
O8 O 0.506 0.298 0.903 1
O9 O 0.227 0.061 0.615 1
O10 O 0.702 0.494 0.597 1
O11 O 0.298 0.506 0.403 1
O12 O 0.061 0.227 0.115 1
Er1 Er 0.428 0.572 0.750 1
Er2 Er 0.572 0.428 0.250 1
Ca1 Ca 0.085 0.915 0.250 1
Ca2 Ca 0.915 0.085 0.750 1



[12]
# RbCd3S3 (GGA-PBE, relaxed)
# * V: 30.420 Å³ per atom
# * crystal system: trigonal
data_RbCd3S3
_space_group_name_H-M_alt 'P 1'
_space_group_IT_number 1
_space_group_name_Hall 'P 1'
_cell_length_a 7.756
_cell_length_b 7.756
_cell_length_c 9.321
_cell_angle_alpha 65.41
_cell_angle_beta 65.41
_cell_angle_gamma 60.00
loop_
_atom_site_label
_atom_site_type_symbol
_atom_site_fract_x
_atom_site_fract_y
_atom_site_fract_z
_atom_site_occupancy
S1 S 0.905 0.244 0.296 1
S2 S 0.244 0.555 0.296 1
S3 S 0.445 0.095 0.704 1
S4 S 0.555 0.905 0.296 1
S5 S 0.095 0.756 0.704 1
S6 S 0.756 0.445 0.704 1
Cd1 Cd 0.874 0.563 0.361 1
Cd2 Cd 0.201 0.874 0.361 1
Cd3 Cd 0.126 0.437 0.639 1
Cd4 Cd 0.799 0.126 0.639 1
Cd5 Cd 0.563 0.201 0.361 1
Cd6 Cd 0.437 0.799 0.639 1
Rb1 Rb 0.333 0.333 0.001 1
Rb2 Rb 0.667 0.667 0.999 1



no.,electronic total energy (eV per atom)
1,-2.659
2,-5.947
3,-4.324
4,-1.802
5,-3.518
6,-8.334
7,-2.348
8,-8.022
9,-3.886
10,-3.490
11,-7.716
12,-2.873